VASP calculation (GGA-PBE) on an optimized crystal structure of SmSc2Ag3Se6.

Lattice parameters (Å, degrees): 7.027 12.205 6.916 90.00 109.44 90.00
Space group C2/m (No. 12)
Symmetry-distinct sites (fractional):
Sm1 0.000 0.000 0.000 (multiplicity 2)
Sc1 0.000 0.331 0.000 (multiplicity 4)
Ag1 0.000 0.158 0.500 (multiplicity 4)
Ag2 0.000 0.500 0.500 (multiplicity 2)
Se1 0.225 0.500 0.238 (multiplicity 4)
Se2 0.246 0.324 0.763 (multiplicity 8)

Results
electronic total energy: -0.18302 Ha/atom
raw formation energy: -1.08 eV/atom